(1)
ZnNi2B | GGA-PBE | relaxed

## Properties
ΔH_f (0 K)   -0.193 eV per atom
M_tot   0.00 μB per formula unit
E above lowest polymorph   0 meV per atom

Structure (CIF):
```
data_ZnNi2B
_cell_length_a 2.512
_cell_length_b 2.512
_cell_length_c 6.338
_cell_angle_alpha 90.00
_cell_angle_beta 90.00
_cell_angle_gamma 90.00
_space_group_name_H-M_alt 'P 4/m m m'
_space_group_IT_number 123
_space_group_name_Hall '-P 4 2'
loop_
_atom_site_label
_atom_site_type_symbol
_atom_site_fract_x
_atom_site_fract_y
_atom_site_fract_z
Zn1 Zn 0.000 0.000 0.000
Ni1 Ni 0.500 0.500 0.309
B1 B 0.000 0.000 0.500
```

=====

(2)
Zn2NiB2 | GGA-PBE | relaxed

## Properties
ΔH_f (0 K)   0.195 eV per atom
M_tot   0.00 μB per formula unit

Structure (CIF):
```
data_Zn2NiB2
_cell_length_a 5.420
_cell_length_b 5.420
_cell_length_c 3.466
_cell_angle_alpha 90.00
_cell_angle_beta 90.00
_cell_angle_gamma 90.00
_space_group_name_H-M_alt 'P 4/m b m'
_space_group_IT_number 127
_space_group_name_Hall '-P 4 2ab'
loop_
_atom_site_label
_atom_site_type_symbol
_atom_site_fract_x
_atom_site_fract_y
_atom_site_fract_z
Zn1 Zn 0.196 0.304 0.000
Ni1 Ni 0.000 0.000 0.500
B1 B 0.108 0.608 0.500
```